Record 1
Ba2AgW after structural relaxation, computed with PBE-GGA.

Computed properties:
The calculation puts the energy relative to the elements at 0.914 eV per atom. For the density of states at the Fermi level, the calculation gives 3.5 states/eV per cell. Its total magnetic moment is 2.8 μB/cell. The density is 7.2 g cm⁻³. Its polymorph energy (0 for the lowest one) is 0.018 eV per atom.

Cell lengths 6.8211, 6.8211, 6.8211 Å; angles 146.28, 131.88, 60.05 degrees
Last column: magnetic moment on the atom in μB.
Fractional coordinates of all 4 atoms:
Ag 0.2991 0.7991 0.5000  0.06
Ba 0.0166 0.0166 0.0000  0.02
Ba 0.7229 0.2229 0.5000  0.02
W 0.4615 0.4615 0.0000  1.97

---

Record 2
La7Pm2Sc2 after structural relaxation, computed with PBE-GGA.

Computed properties:
The calculation puts the energy relative to the elements at 0.123 eV per atom. For the density of states at the Fermi level, the calculation gives 18.2 states/eV per cell. Its total magnetic moment is 0.0 μB/cell. The density is 5.9 g cm⁻³. Its polymorph energy (0 for the lowest one) is 0.000 eV per atom.

Cell lengths 8.3720, 6.9553, 6.9553 Å; angles 103.87, 98.21, 98.21 degrees
Fractional coordinates of all 11 atoms:
La 0.1799 0.9165 0.4905
La 0.8201 0.5095 0.0835
La 0.8201 0.0835 0.5095
La 0.1799 0.4905 0.9165
La 0.0000 0.0000 0.0000
La 0.5195 0.7992 0.7992
La 0.4805 0.2008 0.2008
Pm 0.1823 0.4215 0.4215
Pm 0.8177 0.5785 0.5785
Sc 0.5000 0.2896 0.7104
Sc 0.5000 0.7104 0.2896

---

Record 3
UGa2Fe after structural relaxation, computed with PBE-GGA.

Computed properties:
The calculation puts the energy relative to the elements at -0.083 eV per atom. For the density of states at the Fermi level, the calculation gives 4.2 states/eV per cell. Its total magnetic moment is 3.2 μB/cell. The density is 11.3 g cm⁻³.

Cell lengths 2.9432, 2.9432, 7.3496 Å; angles 90.00, 90.00, 90.00 degrees
Last column: magnetic moment on the atom in μB.
Fractional coordinates of all 4 atoms:
U 0.5000 0.5000 0.5000  2.18
Fe 0.5000 0.5000 0.0000  0.95
Ga 0.0000 0.0000 0.8089  -0.05
Ga 0.0000 0.0000 0.1911  -0.05